A plane-wave DFT calculation with meta-GGA SCAN was carried out for a crystal of Ni2Rh3 relaxed with PBEsol.

Structure (CIF):
```
data_Ni2Rh3
_chemical_formula_sum 'Ni2 Rh3'
_cell_length_a 2.6379
_cell_length_b 2.6379
_cell_length_c 9.0479
_cell_angle_alpha 98.38
_cell_angle_beta 98.38
_cell_angle_gamma 90.00
_space_group_name_H-M_alt 'P 1'
_space_group_IT_number 1
loop_
_space_group_symop_operation_xyz
'x,y,z'
loop_
_atom_site_label
_atom_site_type_symbol
_atom_site_fract_x
_atom_site_fract_y
_atom_site_fract_z
Ni1 Ni 0.0979 0.0979 0.1958
Rh1 Rh 0.6968 0.6968 0.3937
Rh2 Rh 0.5000 0.5000 0.0000
Ni2 Ni 0.9021 0.9021 0.8042
Rh3 Rh 0.3032 0.3032 0.6063
```

Summary:
Excess energy over the best structure of this formula in the dataset ... 36 meV/atom
Total DFT energy (no corrections) ... -133.28 eV/f.u.
E_form ... 76 meV per atom

A plane-wave DFT calculation with meta-GGA SCAN was carried out for a crystal of Ni2Rh relaxed with PBEsol.

Structure (CIF):
```
data_Ni2Rh
_chemical_formula_sum 'Ni4 Rh2'
_cell_length_a 2.5847
_cell_length_b 4.8029
_cell_length_c 6.0698
_cell_angle_alpha 105.49
_cell_angle_beta 90.00
_cell_angle_gamma 105.61
_space_group_name_H-M_alt 'P 1'
_space_group_IT_number 1
loop_
_space_group_symop_operation_xyz
'x,y,z'
loop_
_atom_site_label
_atom_site_type_symbol
_atom_site_fract_x
_atom_site_fract_y
_atom_site_fract_z
Rh1 Rh 0.3117 0.6235 0.3616
Rh2 Rh 0.6883 0.3765 0.6384
Ni1 Ni 0.0287 0.0574 0.2903
Ni2 Ni 0.6391 0.2781 0.0280
Ni3 Ni 0.3609 0.7219 0.9720
Ni4 Ni 0.9713 0.9426 0.7097
```

Summary:
Total DFT energy (no corrections) ... -65.96 eV/f.u.
E_form ... 54 meV per atom

A plane-wave DFT calculation with meta-GGA SCAN was carried out for a crystal of NiRh5 relaxed with PBEsol.

Structure (CIF):
```
data_NiRh5
_chemical_formula_sum 'Ni1 Rh5'
_cell_length_a 2.6613
_cell_length_b 3.7187
_cell_length_c 7.9042
_cell_angle_alpha 90.00
_cell_angle_beta 90.00
_cell_angle_gamma 90.00
_space_group_name_H-M_alt 'P 1'
_space_group_IT_number 1
loop_
_space_group_symop_operation_xyz
'x,y,z'
loop_
_atom_site_label
_atom_site_type_symbol
_atom_site_fract_x
_atom_site_fract_y
_atom_site_fract_z
Rh1 Rh 0.5000 0.5000 0.1607
Rh2 Rh 0.0000 0.0000 0.3286
Rh3 Rh 0.5000 0.5000 0.5000
Rh4 Rh 0.5000 0.5000 0.8393
Rh5 Rh 0.0000 0.0000 0.6714
Ni1 Ni 0.0000 0.0000 0.0000
```

Summary:
Total DFT energy (no corrections) ... -184.86 eV/f.u.
E_form ... 28 meV per atom

A plane-wave DFT calculation with meta-GGA SCAN was carried out for a crystal of Ni3Rh relaxed with PBEsol.

Structure (CIF):
```
data_Ni3Rh
_chemical_formula_sum 'Ni3 Rh1'
_cell_length_a 2.5464
_cell_length_b 2.5464
_cell_length_c 8.2493
_cell_angle_alpha 81.12
_cell_angle_beta 81.12
_cell_angle_gamma 60.00
_space_group_name_H-M_alt 'P 1'
_space_group_IT_number 1
loop_
_space_group_symop_operation_xyz
'x,y,z'
loop_
_atom_site_label
_atom_site_type_symbol
_atom_site_fract_x
_atom_site_fract_y
_atom_site_fract_z
Ni1 Ni 0.7530 0.7530 0.7410
Ni2 Ni 0.5000 0.5000 0.5000
Rh1 Rh 0.0000 0.0000 0.0000
Ni3 Ni 0.2470 0.2470 0.2590
```

Summary:
Total DFT energy (no corrections) ... -82.09 eV/f.u.
E_form ... 49 meV per atom

A plane-wave DFT calculation with meta-GGA SCAN was carried out for a crystal of Ni3Rh relaxed with PBEsol.

Structure (CIF):
```
data_Ni3Rh
_chemical_formula_sum 'Ni3 Rh1'
_cell_length_a 2.5635
_cell_length_b 4.3333
_cell_length_c 4.8002
_cell_angle_alpha 116.83
_cell_angle_beta 105.49
_cell_angle_gamma 90.00
_space_group_name_H-M_alt 'P 1'
_space_group_IT_number 1
loop_
_space_group_symop_operation_xyz
'x,y,z'
loop_
_atom_site_label
_atom_site_type_symbol
_atom_site_fract_x
_atom_site_fract_y
_atom_site_fract_z
Ni1 Ni 0.0000 0.3359 0.0000
Ni2 Ni 0.7471 0.7426 0.4943
Rh1 Rh 0.5000 0.8400 0.0000
Ni3 Ni 0.2529 0.2483 0.5057
```

Summary:
Total DFT energy (no corrections) ... -82.07 eV/f.u.
E_form ... 55 meV per atom

A plane-wave DFT calculation with meta-GGA SCAN was carried out for a crystal of Ni3Rh relaxed with PBEsol.

Structure (CIF):
```
data_Ni3Rh
_chemical_formula_sum 'Ni3 Rh1'
_cell_length_a 2.5553
_cell_length_b 2.5553
_cell_length_c 8.0854
_cell_angle_alpha 90.00
_cell_angle_beta 90.00
_cell_angle_gamma 120.00
_space_group_name_H-M_alt 'P 1'
_space_group_IT_number 1
loop_
_space_group_symop_operation_xyz
'x,y,z'
loop_
_atom_site_label
_atom_site_type_symbol
_atom_site_fract_x
_atom_site_fract_y
_atom_site_fract_z
Ni1 Ni 0.3333 0.6667 0.7591
Rh1 Rh 0.0000 0.0000 0.5000
Ni2 Ni 0.3333 0.6667 0.2409
Ni3 Ni 0.0000 0.0000 0.0000
```

Summary:
Total DFT energy (no corrections) ... -81.91 eV/f.u.
E_form ... 95 meV per atom

A plane-wave DFT calculation with meta-GGA SCAN was carried out for a crystal of Ni2Rh relaxed with PBEsol.

Structure (CIF):
```
data_Ni2Rh
_chemical_formula_sum 'Ni16 Rh8'
_cell_length_a 4.6207
_cell_length_b 4.6207
_cell_length_c 15.0371
_cell_angle_alpha 90.00
_cell_angle_beta 90.00
_cell_angle_gamma 120.00
_space_group_name_H-M_alt 'P 1'
_space_group_IT_number 1
loop_
_space_group_symop_operation_xyz
'x,y,z'
loop_
_atom_site_label
_atom_site_type_symbol
_atom_site_fract_x
_atom_site_fract_y
_atom_site_fract_z
Ni1 Ni 0.1634 0.8366 0.7500
Rh1 Rh 0.6667 0.3333 0.6561
Ni2 Ni 0.8366 0.1634 0.2500
Ni3 Ni 0.6667 0.3333 0.1257
Ni4 Ni 0.6732 0.8366 0.7500
Ni5 Ni 0.0000 0.5000 0.0000
Ni6 Ni 0.1634 0.3268 0.7500
Rh2 Rh 0.0000 0.0000 0.4072
Ni7 Ni 0.0000 0.5000 0.5000
Ni8 Ni 0.5000 0.0000 0.0000
Ni9 Ni 0.3333 0.6667 0.6257
Rh3 Rh 0.0000 0.0000 0.5928
Ni10 Ni 0.8366 0.6732 0.2500
Rh4 Rh 0.3333 0.6667 0.3439
Rh5 Rh 0.0000 0.0000 0.0928
Rh6 Rh 0.0000 0.0000 0.9072
Rh7 Rh 0.3333 0.6667 0.1561
Ni11 Ni 0.3268 0.1634 0.2500
Rh8 Rh 0.6667 0.3333 0.8439
Ni12 Ni 0.3333 0.6667 0.8743
Ni13 Ni 0.5000 0.5000 0.0000
Ni14 Ni 0.5000 0.5000 0.5000
Ni15 Ni 0.5000 0.0000 0.5000
Ni16 Ni 0.6667 0.3333 0.3743
```

Summary:
Total DFT energy (no corrections) ... -65.89 eV/f.u.
E_form ... 76 meV per atom

A plane-wave DFT calculation with meta-GGA SCAN was carried out for a crystal of NiRh relaxed with PBEsol.

Structure (CIF):
```
data_NiRh
_chemical_formula_sum 'Ni3 Rh3'
_cell_length_a 4.4497
_cell_length_b 4.4497
_cell_length_c 4.4559
_cell_angle_alpha 99.25
_cell_angle_beta 99.25
_cell_angle_gamma 119.89
_space_group_name_H-M_alt 'P 1'
_space_group_IT_number 1
loop_
_space_group_symop_operation_xyz
'x,y,z'
loop_
_atom_site_label
_atom_site_type_symbol
_atom_site_fract_x
_atom_site_fract_y
_atom_site_fract_z
Ni1 Ni 0.0011 0.9989 0.0000
Rh1 Rh 0.8368 0.1632 0.5000
Ni2 Ni 0.1653 0.8347 0.5000
Rh2 Rh 0.6647 0.3353 0.0000
Rh3 Rh 0.3323 0.6677 0.0000
Ni3 Ni 0.4998 0.5002 0.5000
```

Summary:
Total DFT energy (no corrections) ... -49.88 eV/f.u.
E_form ... 32 meV per atom

A plane-wave DFT calculation with meta-GGA SCAN was carried out for a crystal of NiRh relaxed with PBEsol.

Structure (CIF):
```
data_NiRh
_chemical_formula_sum 'Ni3 Rh3'
_cell_length_a 2.6086
_cell_length_b 3.6254
_cell_length_c 7.6689
_cell_angle_alpha 90.00
_cell_angle_beta 90.00
_cell_angle_gamma 90.00
_space_group_name_H-M_alt 'P 1'
_space_group_IT_number 1
loop_
_space_group_symop_operation_xyz
'x,y,z'
loop_
_atom_site_label
_atom_site_type_symbol
_atom_site_fract_x
_atom_site_fract_y
_atom_site_fract_z
Ni1 Ni 0.0000 0.0000 0.3439
Rh1 Rh 0.5000 0.5000 0.1791
Ni2 Ni 0.5000 0.5000 0.5000
Rh2 Rh 0.0000 0.0000 0.0000
Ni3 Ni 0.0000 0.0000 0.6561
Rh3 Rh 0.5000 0.5000 0.8209
```

Summary:
Total DFT energy (no corrections) ... -49.85 eV/f.u.
E_form ... 48 meV per atom

A plane-wave DFT calculation with meta-GGA SCAN was carried out for a crystal of NiRh relaxed with PBEsol.

Structure (CIF):
```
data_NiRh
_chemical_formula_sum 'Ni1 Rh1'
_cell_length_a 2.6193
_cell_length_b 2.6193
_cell_length_c 4.1328
_cell_angle_alpha 90.00
_cell_angle_beta 90.00
_cell_angle_gamma 120.00
_space_group_name_H-M_alt 'P 1'
_space_group_IT_number 1
loop_
_space_group_symop_operation_xyz
'x,y,z'
loop_
_atom_site_label
_atom_site_type_symbol
_atom_site_fract_x
_atom_site_fract_y
_atom_site_fract_z
Rh1 Rh 0.6667 0.3333 0.5000
Ni1 Ni 0.0000 0.0000 0.0000
```

Summary:
Total DFT energy (no corrections) ... -49.82 eV/f.u.
E_form ... 63 meV per atom

A plane-wave DFT calculation with meta-GGA SCAN was carried out for a crystal of Ni3Rh relaxed with PBEsol.

Structure (CIF):
```
data_Ni3Rh
_chemical_formula_sum 'Ni6 Rh2'
_cell_length_a 4.0848
_cell_length_b 5.0577
_cell_length_c 5.0577
_cell_angle_alpha 120.00
_cell_angle_beta 90.00
_cell_angle_gamma 90.00
_space_group_name_H-M_alt 'P 1'
_space_group_IT_number 1
loop_
_space_group_symop_operation_xyz
'x,y,z'
loop_
_atom_site_label
_atom_site_type_symbol
_atom_site_fract_x
_atom_site_fract_y
_atom_site_fract_z
Ni1 Ni 0.2500 0.3265 0.1633
Ni2 Ni 0.2500 0.8367 0.6735
Ni3 Ni 0.7500 0.6735 0.8367
Ni4 Ni 0.2500 0.8367 0.1633
Rh1 Rh 0.2500 0.3333 0.6667
Rh2 Rh 0.7500 0.6667 0.3333
Ni5 Ni 0.7500 0.1633 0.3265
Ni6 Ni 0.7500 0.1633 0.8367
```

Summary:
Total DFT energy (no corrections) ... -82.16 eV/f.u.
E_form ... 32 meV per atom

A plane-wave DFT calculation with meta-GGA SCAN was carried out for a crystal of Ni2Rh3 relaxed with PBEsol.

Structure (CIF):
```
data_Ni2Rh3
_chemical_formula_sum 'Ni2 Rh3'
_cell_length_a 2.6276
_cell_length_b 3.6646
_cell_length_c 6.8089
_cell_angle_alpha 105.61
_cell_angle_beta 101.13
_cell_angle_gamma 90.00
_space_group_name_H-M_alt 'P 1'
_space_group_IT_number 1
loop_
_space_group_symop_operation_xyz
'x,y,z'
loop_
_atom_site_label
_atom_site_type_symbol
_atom_site_fract_x
_atom_site_fract_y
_atom_site_fract_z
Ni1 Ni 0.2028 0.2028 0.4055
Rh1 Rh 0.6052 0.6052 0.2104
Ni2 Ni 0.7972 0.7972 0.5945
Rh2 Rh 0.0000 0.0000 0.0000
Rh3 Rh 0.3948 0.3948 0.7896
```

Summary:
Excess energy over the best structure of this formula in the dataset ... 10 meV/atom
Total DFT energy (no corrections) ... -133.41 eV/f.u.
E_form ... 49 meV per atom